Y4Er4Tl (PBE, optimized geometry); total moment = 0.014 μB per cell; energy of formation from the pure elements = -36 kJ/mol of formula units; calculated volume = 30.44 Å³/atom; N(E_F) = 14.4 states/eV/f.u.; SG = No. 139; E = -5.205 eV/atom
1.0
-5.339 5.339 2.403
5.339 -5.339 2.403
5.339 5.339 -2.403
Y Er Tl
4 4 1
direct
0.161 0.161 0.323
0.161 0.839 0.000
0.839 0.161 0.000
0.839 0.839 0.677
0.161 0.500 0.661
0.500 0.161 0.661
0.500 0.839 0.339
0.839 0.500 0.339
0.500 0.500 0.000


Sr2LiPd2 (PBE, optimized geometry); total moment = 0.000 μB per cell; energy of formation from the pure elements = -150 kJ/mol of formula units; calculated volume = 28.44 Å³/atom; N(E_F) = 2.2 states/eV/f.u.; SG = No. 139; E = -3.444 eV/atom; energy above the lowest structure with this stoichiometry = 217 meV/atom
1.0
-2.966 2.966 4.040
2.966 -2.966 4.040
2.966 2.966 -4.040
Sr Li Pd
2 1 2
direct
0.250 0.750 0.500
0.750 0.250 0.500
0.000 0.000 0.000
0.334 0.334 0.000
0.666 0.666 0.000


Nd4Y2Sb3N2 (PBE, optimized geometry); total moment = 0.000 μB per cell; calculated volume = 26.82 Å³/atom; N(E_F) = 3.8 states/eV/f.u.; ΔE_f (raw) = -1129 meV per atom; SG = No. 139; E = -6.676 eV/atom
1.0
-2.399 2.399 12.809
2.399 -2.399 12.809
2.399 2.399 -12.809
Nd Y Sb N
4 2 3 2
direct
0.084 0.584 0.500
0.416 0.916 0.500
0.584 0.084 0.500
0.916 0.416 0.500
0.193 0.193 0.000
0.807 0.807 0.000
0.318 0.318 0.000
0.500 0.500 0.000
0.682 0.682 0.000
0.108 0.108 0.000
0.892 0.892 0.000


YSbIr2 (PBE, optimized geometry); total moment = 0.000 μB per cell; calculated volume = 20.23 Å³/atom; N(E_F) = 1.5 states/eV/f.u.; ΔE_f (raw) = -421 meV per atom; SG = No. 6; E = -7.498 eV/atom
1.0
3.897 0.000 0.000
0.000 3.983 0.000
-1.941 0.000 5.212
Y Sb Ir
1 1 2
direct
0.000 0.000 0.000
0.296 0.500 0.592
0.553 0.500 0.106
0.728 0.000 0.456


CdTcH2 (PBE, optimized geometry); total moment = 1.038 μB per cell; calculated volume = 10.43 Å³/atom; N(E_F) = 2.3 states/eV/f.u.; SG = No. 225; E = -3.598 eV/atom; energy above the lowest structure with this stoichiometry = 705 meV/atom
1.0
0.000 2.753 2.753
2.753 0.000 2.753
2.753 2.753 0.000
Cd Tc H
1 1 2
direct
0.000 0.000 0.000
0.500 0.500 0.500
0.250 0.250 0.250
0.750 0.750 0.750


Th3RhAu (PBE, optimized geometry); total moment = 0.000 μB per cell; energy of formation from the pure elements = -255 kJ/mol of formula units; calculated volume = 28.18 Å³/atom; N(E_F) = 6.6 states/eV/f.u.; SG = No. 63; E = -7.107 eV/atom
1.0
2.014 -6.281 0.000
2.014 6.281 0.000
0.000 0.000 11.135
Th Rh Au
6 2 2
direct
0.061 0.939 0.750
0.355 0.645 0.574
0.355 0.645 0.926
0.645 0.355 0.074
0.645 0.355 0.426
0.939 0.061 0.250
0.000 0.000 0.000
0.000 0.000 0.500
0.253 0.747 0.250
0.747 0.253 0.750


CaCd2Ni9 (PBE, optimized geometry); total moment = 7.199 μB per cell; energy of formation from the pure elements = -76 kJ/mol of formula units; calculated volume = 13.81 Å³/atom; N(E_F) = 16.3 states/eV/f.u.; SG = No. 127; E = -4.721 eV/atom
1.0
8.238 0.000 0.000
0.000 8.238 0.000
0.000 0.000 4.885
Ca Cd Ni
2 4 18
direct
0.000 0.000 0.000
0.500 0.500 0.000
0.123 0.377 0.000
0.377 0.877 0.000
0.623 0.123 0.000
0.877 0.623 0.000
0.000 0.500 0.500
0.064 0.209 0.500
0.177 0.677 0.252
0.177 0.677 0.748
0.209 0.936 0.500
0.291 0.436 0.500
0.323 0.177 0.252
0.323 0.177 0.748
0.436 0.709 0.500
0.500 0.000 0.500
0.564 0.291 0.500
0.677 0.823 0.252
0.677 0.823 0.748
0.709 0.564 0.500
0.791 0.064 0.500
0.823 0.323 0.252
0.823 0.323 0.748
0.936 0.791 0.500


Rb2GaTeBr6 (PBE, optimized geometry); total moment = 0.000 μB per cell; calculated volume = 37.04 Å³/atom; N(E_F) = 3.8 states/eV/f.u.; ΔE_f (raw) = -934 meV per atom; SG = No. 139; E = -2.748 eV/atom
1.0
-3.945 3.945 5.951
3.945 -3.945 5.951
3.945 3.945 -5.951
Rb Ga Te Br
2 1 1 6
direct
0.250 0.750 0.500
0.750 0.250 0.500
0.000 0.000 0.000
0.500 0.500 0.000
0.224 0.224 0.000
0.249 0.249 0.499
0.249 0.751 0.000
0.751 0.249 0.000
0.751 0.751 0.501
0.776 0.776 0.000


- Which value of calculated volume does entry 1 give?
  30.44 Å³/atom